# 1
This record from the Alexandria database describes crystalline AcCePu2N4 at its relaxed geometry. The functional is PBE.

It has space group P2/m (No. 10), with a = 6.232 Å, b = 3.583 Å, c = 6.248 Å, α = 90.00°, β = 109.39° and γ = 90.00°. Symmetry generates all atoms from Ac at (0.000, 0.000, 0.000), Ce at (0.500, 0.500, 0.000), Pu at (0.000, 0.500, 0.500), Pu at (0.500, 0.000, 0.500), N at (0.258, 0.000, 0.727) and N at (0.278, 0.500, 0.287).

As for the total energy: -81.8 eV per cell. As for the crystal system: monoclinic. For the total magnetic moment, the calculation gives 1.240 μB per atom.


# 2
This record from the Alexandria database describes crystalline YHfN3 at its relaxed geometry. The functional is PBE.

It has space group Pm-3m (No. 221), with a = 4.115 Å, b = 4.115 Å, c = 4.115 Å, α = 90.00°, β = 90.00° and γ = 90.00°. Symmetry generates all atoms from Y at (0.000, 0.000, 0.000), Hf at (0.500, 0.500, 0.500) and N at (0.000, 0.500, 0.500).

As for the total energy: -44.5 eV per cell. As for the crystal system: cubic. For the total magnetic moment, the calculation gives 0.000 μB per atom.


# 3
This record from the Alexandria database describes crystalline La2SeBr at its relaxed geometry. The functional is PBE.

It has space group Pmmm (No. 47), with a = 4.125 Å, b = 4.479 Å, c = 6.494 Å, α = 90.00°, β = 90.00° and γ = 90.00°. Symmetry generates all atoms from La at (0.000, 0.000, 0.000), La at (0.500, 0.000, 0.500), Se at (0.000, 0.500, 0.500) and Br at (0.500, 0.500, 0.000).

As for the total energy: -20.3 eV per cell. As for the crystal system: orthorhombic. For the total magnetic moment, the calculation gives 0.000 μB per atom.


# 4
This record from the Alexandria database describes crystalline NdMgSi2Pt5 at its relaxed geometry. The functional is PBE.

It has space group P4/mmm (No. 123), with a = 4.091 Å, b = 4.091 Å, c = 10.634 Å, α = 90.00°, β = 90.00° and γ = 90.00°. Symmetry generates all atoms from Nd at (0.000, 0.000, 0.000), Mg at (0.000, 0.000, 0.500), Si at (0.500, 0.500, 0.221), Pt at (0.000, 0.500, 0.331) and Pt at (0.500, 0.500, 0.000).

As for the total energy: -54.4 eV per cell. As for the crystal system: tetragonal. For the total magnetic moment, the calculation gives 0.000 μB per atom.